Density functional theory data (PBEsol) for a geometry-optimized CuSi2Os structure.

Unit cell a=2.8959 b=4.1644 c=4.1766 alpha=90.00 beta=90.00 gamma=90.00
Last column: nearest neighbours and their distance in Å.
Element x y z (fractional)
Cu 0.0000 0.0000 0.0000  8 Si 2.54
Si 0.5000 0.0000 0.5000  4 Os 2.54, 4 Cu 2.54
Si 0.5000 0.5000 0.0000  4 Cu 2.54, 4 Os 2.54
Os 0.0000 0.5000 0.5000  8 Si 2.54

Values from the calculation:
Space-group type: Pmmm, No. 47
Energy relative to the lowest polymorph listed for this composition (meV per atom): 169
Crystal system: orthorhombic
Volume (A^3/atom): 12.59



Density functional theory data (PBEsol) for a geometry-optimized CuSi2Os structure.

Unit cell a=2.7922 b=4.8418 c=8.0362 alpha=90.00 beta=90.00 gamma=90.00
Last column: nearest neighbours and their distance in Å.
Element x y z (fractional)
Cu 0.0000 0.0000 0.0000  4 Si 2.46
Cu 0.5000 0.5000 0.0000  4 Si 2.46
Si 0.0000 0.5000 0.2523  2 Os 2.43, 2 Cu 2.46
Si 0.0000 0.5000 0.7477  2 Os 2.43, 2 Cu 2.46
Si 0.5000 0.0000 0.2523  2 Os 2.43, 2 Cu 2.46
Si 0.5000 0.0000 0.7477  2 Os 2.43, 2 Cu 2.46
Os 0.0000 0.0000 0.5000  4 Si 2.43
Os 0.5000 0.5000 0.5000  4 Si 2.43

Values from the calculation:
Space-group type: Cmmm, No. 65
Energy relative to the lowest polymorph listed for this composition (meV per atom): 383
Crystal system: orthorhombic
Volume (A^3/atom): 13.58



Density functional theory data (PBEsol) for a geometry-optimized CuSiOs2 structure.

Unit cell a=5.9583 b=5.9583 c=5.9583 alpha=90.00 beta=90.00 gamma=90.00
Last column: nearest neighbours and their distance in Å.
Element x y z (fractional)
Cu 0.0000 0.0000 0.0000  4 Si 2.58, 4 Os 2.58
Cu 0.0000 0.5000 0.5000  4 Si 2.58, 4 Os 2.58
Cu 0.5000 0.0000 0.5000  4 Si 2.58, 4 Os 2.58
Cu 0.5000 0.5000 0.0000  4 Si 2.58, 4 Os 2.58
Si 0.2500 0.2500 0.7500  4 Os 2.58, 4 Cu 2.58
Si 0.2500 0.7500 0.2500  4 Os 2.58, 4 Cu 2.58
Si 0.7500 0.2500 0.2500  4 Os 2.58, 4 Cu 2.58
Si 0.7500 0.7500 0.7500  4 Os 2.58, 4 Cu 2.58
Os 0.0000 0.0000 0.5000  4 Os 2.58, 4 Si 2.58
Os 0.0000 0.5000 0.0000  4 Os 2.58, 4 Si 2.58
Os 0.2500 0.2500 0.2500  4 Os 2.58, 4 Cu 2.58
Os 0.2500 0.7500 0.7500  4 Os 2.58, 4 Cu 2.58
Os 0.5000 0.0000 0.0000  4 Os 2.58, 4 Si 2.58
Os 0.5000 0.5000 0.5000  4 Os 2.58, 4 Si 2.58
Os 0.7500 0.2500 0.7500  4 Os 2.58, 4 Cu 2.58
Os 0.7500 0.7500 0.2500  4 Os 2.58, 4 Cu 2.58

Values from the calculation:
Space-group type: F-43m, No. 216
Crystal system: cubic
Volume (A^3/atom): 13.22
VASP energy (eV/cell): -132.41



Density functional theory data (PBEsol) for a geometry-optimized CuSiOs2 structure.

Unit cell a=5.3363 b=8.3114 c=2.7101 alpha=90.00 beta=117.68 gamma=90.00
Last column: nearest neighbours and their distance in Å.
Element x y z (fractional)
Cu 0.0000 0.0000 0.0000  4 Os 2.50, 4 Si 2.67-2.78, 2 Cu 2.71
Cu 0.5000 0.5000 0.0000  4 Os 2.50, 4 Si 2.67-2.78, 2 Cu 2.71
Si 0.0000 0.5000 0.0000  4 Os 2.50, 4 Cu 2.67-2.78, 2 Si 2.71
Si 0.5000 0.0000 0.0000  4 Os 2.50, 4 Cu 2.67-2.78, 2 Si 2.71
Os 0.2500 0.2500 0.5000  2 Cu 2.50, 2 Si 2.50, 6 Os 2.67-2.78
Os 0.2500 0.7500 0.5000  2 Cu 2.50, 2 Si 2.50, 6 Os 2.67-2.78
Os 0.7500 0.2500 0.5000  2 Cu 2.50, 2 Si 2.50, 6 Os 2.67-2.78
Os 0.7500 0.7500 0.5000  2 Cu 2.50, 2 Si 2.50, 6 Os 2.67-2.78

Values from the calculation:
Space-group type: C2/m, No. 12
Crystal system: monoclinic
Volume (A^3/atom): 13.31
VASP energy (eV/cell): -66.73



Density functional theory data (PBEsol) for a geometry-optimized CuSiOs2 structure.

Unit cell a=2.7596 b=2.7596 c=23.9547 alpha=90.00 beta=90.00 gamma=120.00
Last column: nearest neighbours and their distance in Å.
Element x y z (fractional)
Cu 0.0000 0.0000 0.0000  6 Os 2.64, 6 Cu 2.76
Cu 0.3333 0.6667 0.6667  6 Os 2.64, 6 Cu 2.76
Cu 0.6667 0.3333 0.3333  6 Os 2.64, 6 Cu 2.76
Si 0.0000 0.0000 0.5000  6 Os 2.47, 6 Si 2.76
Si 0.3333 0.6667 0.1667  6 Os 2.47, 6 Si 2.76
Si 0.6667 0.3333 0.8333  6 Os 2.47, 6 Si 2.76
Os 0.0000 0.0000 0.2453  3 Si 2.47, 3 Cu 2.64, 6 Os 2.76
Os 0.0000 0.0000 0.7547  3 Si 2.47, 3 Cu 2.64, 6 Os 2.76
Os 0.3333 0.6667 0.4214  3 Si 2.47, 3 Cu 2.64, 6 Os 2.76
Os 0.3333 0.6667 0.9119  3 Si 2.47, 3 Cu 2.64, 6 Os 2.76
Os 0.6667 0.3333 0.0881  3 Si 2.47, 3 Cu 2.64, 6 Os 2.76
Os 0.6667 0.3333 0.5786  3 Si 2.47, 3 Cu 2.64, 6 Os 2.76

Values from the calculation:
Space-group type: R-3m, No. 166
Crystal system: trigonal
Volume (A^3/atom): 13.17
VASP energy (eV/cell): -102.52



Density functional theory data (PBEsol) for a geometry-optimized SrCu2Os structure.

Unit cell a=2.7373 b=4.2916 c=5.8695 alpha=90.00 beta=103.39 gamma=90.00
Last column: nearest neighbours and their distance in Å.
Element x y z (fractional)
Sr 0.0000 0.0000 0.0000  2 Sr 2.74, 5 Cu 2.77-2.98
Cu 0.6360 0.5000 0.2719  2 Os 2.50-2.51, 4 Cu 2.56-2.74
Cu 0.7576 0.0000 0.5153  4 Cu 2.56-2.74, 4 Os 2.64, 1 Sr 2.77
Os 0.3190 0.5000 0.6394  6 Cu 2.50-2.64, 2 Os 2.74

Values from the calculation:
Space-group type: Pm, No. 6
Energy relative to the lowest polymorph listed for this composition (meV per atom): 0
Crystal system: monoclinic
Volume (A^3/atom): 16.77
Formation energy from the elements (eV per formula unit): 2.25



Density functional theory data (PBEsol) for a geometry-optimized SrCu2Os structure.

Unit cell a=6.4339 b=6.4339 c=6.4339 alpha=90.00 beta=90.00 gamma=90.00
Last column: nearest neighbours and their distance in Å.
Element x y z (fractional)
Sr 0.0000 0.0000 0.0000  4 Os 2.79, 4 Cu 2.79
Sr 0.0000 0.5000 0.5000  4 Os 2.79, 4 Cu 2.79
Sr 0.5000 0.0000 0.5000  4 Os 2.79, 4 Cu 2.79
Sr 0.5000 0.5000 0.0000  4 Os 2.79, 4 Cu 2.79
Cu 0.0000 0.0000 0.5000  4 Os 2.79, 4 Cu 2.79
Cu 0.0000 0.5000 0.0000  4 Os 2.79, 4 Cu 2.79
Cu 0.2500 0.2500 0.7500  4 Cu 2.79, 4 Sr 2.79
Cu 0.2500 0.7500 0.2500  4 Cu 2.79, 4 Sr 2.79
Cu 0.5000 0.0000 0.0000  4 Os 2.79, 4 Cu 2.79
Cu 0.5000 0.5000 0.5000  4 Cu 2.79, 4 Os 2.79
Cu 0.7500 0.2500 0.2500  4 Cu 2.79, 4 Sr 2.79
Cu 0.7500 0.7500 0.7500  4 Cu 2.79, 4 Sr 2.79
Os 0.2500 0.2500 0.2500  4 Cu 2.79, 4 Sr 2.79
Os 0.2500 0.7500 0.7500  4 Cu 2.79, 4 Sr 2.79
Os 0.7500 0.2500 0.7500  4 Cu 2.79, 4 Sr 2.79
Os 0.7500 0.7500 0.2500  4 Cu 2.79, 4 Sr 2.79

Values from the calculation:
Space-group type: F-43m, No. 216
Energy relative to the lowest polymorph listed for this composition (meV per atom): 440
Crystal system: cubic
Volume (A^3/atom): 16.65
Formation energy from the elements (eV per formula unit): 4.01



Density functional theory data (PBEsol) for a geometry-optimized SrTlCu2Os structure.

Unit cell a=4.9652 b=4.9652 c=4.9875 alpha=90.00 beta=90.00 gamma=90.00
Last column: nearest neighbours and their distance in Å.
Element x y z (fractional)
Sr 0.0000 0.0000 0.0000  4 Cu 2.48, 2 Os 2.49
Tl 0.5000 0.5000 0.5000  4 Os 3.51, 8 Cu 3.52
Cu 0.0000 0.5000 0.0000  2 Sr 2.48
Cu 0.5000 0.0000 0.0000  2 Sr 2.48
Os 0.0000 0.0000 0.5000  2 Sr 2.49

Values from the calculation:
Space-group type: P4/mmm, No. 123
Crystal system: tetragonal
Volume (A^3/atom): 24.59
Formation energy from the elements (eV per formula unit): 10.51



Density functional theory data (PBEsol) for a geometry-optimized TaCuOs2 structure.

Unit cell a=2.9900 b=4.2884 c=4.4923 alpha=90.00 beta=90.00 gamma=90.00
Last column: nearest neighbours and their distance in Å.
Element x y z (fractional)
Ta 0.0000 0.0000 0.0000  4 Os 2.61, 4 Cu 2.70
Cu 0.5000 0.0000 0.5000  4 Os 2.61, 4 Ta 2.70
Os 0.0000 0.5000 0.5000  4 Cu 2.61, 4 Os 2.70
Os 0.5000 0.5000 0.0000  4 Ta 2.61, 4 Os 2.70

Values from the calculation:
Space-group type: Pmmm, No. 47
Crystal system: orthorhombic
Volume (A^3/atom): 14.40
Formation energy from the elements (eV per formula unit): 1.12



Density functional theory data (PBEsol) for a geometry-optimized Cu2TcOs structure.

Unit cell a=5.9153 b=5.9153 c=5.9153 alpha=90.00 beta=90.00 gamma=90.00
Last column: nearest neighbours and their distance in Å.
Element x y z (fractional)
Cu 0.0000 0.0000 0.0000  4 Tc 2.56, 4 Cu 2.56
Cu 0.0000 0.5000 0.5000  4 Tc 2.56, 4 Cu 2.56
Cu 0.2500 0.2500 0.2500  4 Os 2.56, 4 Cu 2.56
Cu 0.2500 0.7500 0.7500  4 Os 2.56, 4 Cu 2.56
Cu 0.5000 0.0000 0.5000  4 Tc 2.56, 4 Cu 2.56
Cu 0.5000 0.5000 0.0000  4 Tc 2.56, 4 Cu 2.56
Cu 0.7500 0.2500 0.7500  4 Os 2.56, 4 Cu 2.56
Cu 0.7500 0.7500 0.2500  4 Os 2.56, 4 Cu 2.56
Tc 0.2500 0.2500 0.7500  4 Os 2.56, 4 Cu 2.56
Tc 0.2500 0.7500 0.2500  4 Os 2.56, 4 Cu 2.56
Tc 0.7500 0.2500 0.2500  4 Os 2.56, 4 Cu 2.56
Tc 0.7500 0.7500 0.7500  4 Os 2.56, 4 Cu 2.56
Os 0.0000 0.0000 0.5000  4 Tc 2.56, 4 Cu 2.56
Os 0.0000 0.5000 0.0000  4 Tc 2.56, 4 Cu 2.56
Os 0.5000 0.0000 0.0000  4 Tc 2.56, 4 Cu 2.56
Os 0.5000 0.5000 0.5000  4 Tc 2.56, 4 Cu 2.56

Values from the calculation:
Space-group type: F-43m, No. 216
Energy relative to the lowest polymorph listed for this composition (meV per atom): 51
Crystal system: cubic
Volume (A^3/atom): 12.94
Formation energy from the elements (eV per formula unit): 1.45



Density functional theory data (PBEsol) for a geometry-optimized Cu2TcOs structure.

Unit cell a=8.7648 b=2.6297 c=4.5470 alpha=90.00 beta=99.92 gamma=90.00
Last column: nearest neighbours and their distance in Å.
Element x y z (fractional)
Cu 0.2491 0.0000 0.2497  6 Cu 2.63, 3 Tc 2.63-2.65, 3 Os 2.63-2.64
Cu 0.2509 0.5000 0.7503  6 Cu 2.63, 3 Tc 2.63-2.65, 3 Os 2.63-2.64
Cu 0.7491 0.5000 0.2497  6 Cu 2.63, 3 Tc 2.63-2.65, 3 Os 2.63-2.64
Cu 0.7509 0.0000 0.7503  6 Cu 2.63, 3 Tc 2.63-2.65, 3 Os 2.63-2.64
Tc 0.0000 0.0000 0.5000  4 Os 2.63, 2 Tc 2.63, 6 Cu 2.63-2.65
Tc 0.5000 0.5000 0.5000  4 Os 2.63, 2 Tc 2.63, 6 Cu 2.63-2.65
Os 0.0000 0.5000 0.0000  4 Tc 2.63, 2 Os 2.63, 6 Cu 2.63-2.64
Os 0.5000 0.0000 0.0000  4 Tc 2.63, 2 Os 2.63, 6 Cu 2.63-2.64

Values from the calculation:
Space-group type: C2/m, No. 12
Energy relative to the lowest polymorph listed for this composition (meV per atom): 0
Crystal system: monoclinic
Volume (A^3/atom): 12.90
Formation energy from the elements (eV per formula unit): 1.25



Density functional theory data (PBEsol) for a geometry-optimized CuTcOs2 structure.

Unit cell a=3.6932 b=3.6932 c=7.8715 alpha=90.00 beta=90.00 gamma=90.00
Last column: nearest neighbours and their distance in Å.
Element x y z (fractional)
Cu 0.0000 0.0000 0.0000  8 Os 2.61-2.70, 4 Tc 2.70
Cu 0.5000 0.5000 0.5000  8 Os 2.61-2.70, 4 Tc 2.70
Tc 0.0000 0.5000 0.7500  8 Os 2.61-2.70, 4 Cu 2.70
Tc 0.5000 0.0000 0.2500  8 Os 2.61-2.70, 4 Cu 2.70
Os 0.0000 0.0000 0.5000  4 Cu 2.61, 4 Tc 2.70, 4 Os 2.70
Os 0.0000 0.5000 0.2500  4 Tc 2.61, 4 Os 2.70, 4 Cu 2.70
Os 0.5000 0.0000 0.7500  4 Tc 2.61, 4 Os 2.70, 4 Cu 2.70
Os 0.5000 0.5000 0.0000  4 Cu 2.61, 4 Tc 2.70, 4 Os 2.70

Values from the calculation:
Space-group type: I-4m2, No. 119
Energy relative to the lowest polymorph listed for this composition (meV per atom): 105
Crystal system: tetragonal
Volume (A^3/atom): 13.42
Formation energy from the elements (eV per formula unit): 1.32



Density functional theory data (PBEsol) for a geometry-optimized CuTcOs2 structure.

Unit cell a=4.6001 b=2.6889 c=4.6504 alpha=90.00 beta=110.38 gamma=90.00
Last column: nearest neighbours and their distance in Å.
Element x y z (fractional)
Cu 0.0000 0.0000 0.0000  6 Os 2.64-2.66, 4 Tc 2.69, 2 Cu 2.69
Tc 0.0000 0.5000 0.5000  6 Os 2.64-2.66, 4 Cu 2.69, 2 Tc 2.69
Os 0.5000 0.0000 0.5000  2 Cu 2.64, 4 Tc 2.66, 6 Os 2.69
Os 0.5000 0.5000 0.0000  2 Tc 2.64, 4 Cu 2.66, 6 Os 2.69

Values from the calculation:
Space-group type: P2/m, No. 10
Energy relative to the lowest polymorph listed for this composition (meV per atom): 101
Crystal system: monoclinic
Volume (A^3/atom): 13.48
Formation energy from the elements (eV per formula unit): 1.31



Density functional theory data (PBEsol) for a geometry-optimized Cu2TcOs structure.

Unit cell a=4.1422 b=4.1422 c=2.9274 alpha=90.00 beta=90.00 gamma=90.00
Last column: nearest neighbours and their distance in Å.
Element x y z (fractional)
Cu 0.0000 0.5000 0.0000  4 Tc 2.54, 4 Os 2.54
Cu 0.5000 0.0000 0.0000  4 Tc 2.54, 4 Os 2.54
Tc 0.0000 0.0000 0.5000  8 Cu 2.54
Os 0.5000 0.5000 0.5000  8 Cu 2.54

Values from the calculation:
Space-group type: P4/mmm, No. 123
Energy relative to the lowest polymorph listed for this composition (meV per atom): 194
Crystal system: tetragonal
Volume (A^3/atom): 12.56
Formation energy from the elements (eV per formula unit): 2.03



Density functional theory data (PBEsol) for a geometry-optimized CuTcOs2 structure.

Unit cell a=6.0187 b=6.0187 c=6.0187 alpha=90.00 beta=90.00 gamma=90.00
Last column: nearest neighbours and their distance in Å.
Element x y z (fractional)
Cu 0.0000 0.0000 0.0000  4 Os 2.61, 4 Tc 2.61
Cu 0.0000 0.5000 0.5000  4 Os 2.61, 4 Tc 2.61
Cu 0.5000 0.0000 0.5000  4 Os 2.61, 4 Tc 2.61
Cu 0.5000 0.5000 0.0000  4 Os 2.61, 4 Tc 2.61
Tc 0.2500 0.2500 0.2500  4 Os 2.61, 4 Cu 2.61
Tc 0.2500 0.7500 0.7500  4 Os 2.61, 4 Cu 2.61
Tc 0.7500 0.2500 0.7500  4 Os 2.61, 4 Cu 2.61
Tc 0.7500 0.7500 0.2500  4 Os 2.61, 4 Cu 2.61
Os 0.0000 0.0000 0.5000  4 Tc 2.61, 4 Os 2.61
Os 0.0000 0.5000 0.0000  4 Tc 2.61, 4 Os 2.61
Os 0.2500 0.2500 0.7500  4 Os 2.61, 4 Cu 2.61
Os 0.2500 0.7500 0.2500  4 Os 2.61, 4 Cu 2.61
Os 0.5000 0.0000 0.0000  4 Tc 2.61, 4 Os 2.61
Os 0.5000 0.5000 0.5000  4 Tc 2.61, 4 Os 2.61
Os 0.7500 0.2500 0.2500  4 Os 2.61, 4 Cu 2.61
Os 0.7500 0.7500 0.7500  4 Os 2.61, 4 Cu 2.61

Values from the calculation:
Space-group type: F-43m, No. 216
Energy relative to the lowest polymorph listed for this composition (meV per atom): 295
Crystal system: cubic
Volume (A^3/atom): 13.63
Formation energy from the elements (eV per formula unit): 2.08